This record from the Alexandria database describes crystalline ZrU4Pa3P8 at its relaxed geometry. The functional is PBE.

Calculated values
* E: -432.1 eV/cell
* crystal system: trigonal
* magnetization: 0.51 μB/atom
* formation energy: -1.16 eV/atom
* theoretical density: 9.649 g cm⁻³

```
data_ZrU4Pa3P8
_chemical_formula_sum 'Zr3 U12 Pa9 P24'
_space_group_name_H-M_alt 'R -3 m'
_space_group_IT_number 166
_space_group_name_Hall '-R 3 2"'
_cell_length_a 7.8012
_cell_length_b 7.8012
_cell_length_c 19.4376
_cell_angle_alpha 90.00
_cell_angle_beta 90.00
_cell_angle_gamma 120.00
loop_
_atom_site_label
_atom_site_fract_x
_atom_site_fract_y
_atom_site_fract_z
_atom_site_occupancy
Zr1 0.0000 0.0000 0.0000 1
U1 0.0000 0.0000 0.5000 1
U2 0.0000 0.5000 0.5000 1
Pa1 0.0000 0.5000 0.0000 1
P1 0.0000 0.0000 0.2489 1
P2 0.0078 0.5039 0.7492 1
```